Material: Ce2ZnGeIr
Method: DFT, PBE-GGA
State: relaxed

Cell: 4.1475 7.3581 7.4776 Å, 106.60 90.00 90.00°
With the nearest neighbours (Å) after each atom.
Sites, in units of the cell vectors:
Ce  0.7500  0.8900  0.6440  2 Ir 2.83, 2 Ge 3.17
Ce  0.7500  0.6958  0.0349  3 Ir 2.81-3.04, 2 Ge 3.12
Ce  0.2500  0.1100  0.3560  2 Ir 2.83, 2 Ge 3.17
Ce  0.2500  0.3042  0.9651  3 Ir 2.81-3.04, 2 Ge 3.12
Zn  0.2500  0.5465  0.6521  1 Ir 2.59, 3 Ge 2.63-2.75
Zn  0.7500  0.4535  0.3479  1 Ir 2.59, 3 Ge 2.63-2.75
Ge  0.2500  0.6704  0.3381  3 Zn 2.63-2.75
Ge  0.7500  0.3296  0.6619  3 Zn 2.63-2.75
Ir  0.2500  0.8760  0.8970  1 Zn 2.59, 4 Ce 2.81-2.83
Ir  0.7500  0.1240  0.1030  1 Zn 2.59, 4 Ce 2.81-2.83

Space-group type = P2_1/m, No. 11
Crystal system = monoclinic
E_tot = -5.96 eV/atom
Theoretical density = 9.3 Mg/m³
Fermi-level density of states = 17.41 states/eV/cell